(1)
Compound: DyPuI2
Source: the Alexandria database
Functional: PBE
Structure: relaxed

Summary:
* formation energy from raw total energies: -0.5133 eV per atom
* spin magnetization: 1.750 μB per atom

```
DyPuI2
1.0
3.822 0.000 0.000
1.911 3.310 0.000
1.911 1.103 10.924
Dy I Pu
1 2 1
Cartesian
3.822 2.207 5.462
1.911 1.103 7.652
5.733 3.310 3.272
0.000 0.000 0.000
```

(2)
Compound: Sr2HgH6Rh
Source: the Alexandria database
Functional: PBE
Structure: relaxed

Summary:
* calculated total energy: -3.5849 eV/atom
* spin magnetization: 0.000 μB per atom

```
Sr2HgH6Rh
1.0
7.559 0.000 0.000
0.000 4.917 0.000
0.000 -2.458 4.258
H Rh Hg Sr
6 1 1 2
Cartesian
0.934 3.715 0.694
6.625 -1.257 3.564
0.934 1.202 0.694
6.625 0.000 1.387
6.625 1.257 3.564
0.934 2.458 2.871
0.000 0.000 0.000
3.779 0.000 0.000
6.025 2.458 1.419
1.534 0.000 2.839
```

(3)
Compound: MnRuPt
Source: the Alexandria database
Functional: PBE
Structure: relaxed

Summary:
* E above lowest polymorph: 61 meV/atom
* formation energy: -0.001 eV/atom
* spin magnetization: 0.898 μB per atom

```
MnRuPt
1.0
-2.312 0.569 1.408
0.788 -2.626 -0.362
3.415 0.268 5.500
Mn Pt Ru
1 1 1
Cartesian
3.386 0.266 5.452
-0.176 -0.410 2.593
2.098 -1.378 4.001
```

(4)
Compound: RbPdRhI6
Source: the Alexandria database
Functional: PBE
Structure: relaxed

Summary:
* formation energy from raw total energies: -0.4262 eV per atom
* spin magnetization: 0.232 μB per atom

```
RbPdRhI6
1.0
7.240 0.000 0.000
3.620 6.270 0.000
0.000 0.000 8.272
Pd Rb Rh I
1 1 1 6
Cartesian
3.620 2.090 4.136
7.240 0.000 8.272
7.239 4.180 4.136
8.492 2.355 2.591
5.033 4.007 2.591
6.286 6.177 5.681
5.987 2.356 5.681
8.193 6.177 2.592
9.446 4.007 5.681
```

(5)
Compound: SnTeO3
Source: the Alexandria database
Functional: PBE
Structure: relaxed

Summary:
* formation energy from raw total energies: -0.7511 eV per atom
* spin magnetization: 0.000 μB per atom

```
SnTeO3
1.0
4.233 0.000 0.000
0.000 4.233 0.000
0.000 0.000 4.233
O Te Sn
3 1 1
Cartesian
2.117 0.000 0.000
0.000 2.117 0.000
0.000 0.000 2.117
0.000 0.000 0.000
2.117 2.117 2.117
```

(6)
Compound: TaCoNi2
Source: the Alexandria database
Functional: PBE
Structure: relaxed

Summary:
* E above lowest polymorph: 0 meV/atom
* formation energy: -0.330 eV/atom
* spin magnetization: 0.000 μB per atom

```
TaCoNi2
1.0
-4.209 2.403 1.791
0.338 -5.136 0.449
1.843 0.448 3.731
Ni Co Ta
4 2 2
Cartesian
0.529 -3.702 2.530
-3.477 1.189 1.575
0.371 -1.042 2.290
-1.657 -2.474 3.463
-3.321 -1.464 1.817
-1.295 -0.033 0.644
-1.198 -2.589 0.903
-1.749 0.076 3.203
```

(7)
Compound: InRe2W
Source: the Alexandria database
Functional: PBE
Structure: relaxed

Summary:
* formation energy: 0.386 eV/atom
* spin magnetization: 0.000 μB per atom

```
InRe2W
1.0
-8.265 1.227 -4.274
-7.913 -1.587 -4.791
-9.071 -0.713 -2.300
Re In W
2 1 1
Cartesian
-25.124 -1.068 -11.309
-12.749 -0.542 -5.739
-18.936 -0.805 -8.524
-6.312 -0.268 -2.841
```

(8)
Compound: La2CuNi2
Source: the Alexandria database
Functional: PBE
Structure: relaxed

Summary:
* formation energy: -0.248 eV/atom
* spin magnetization: 0.000 μB per atom

```
La2CuNi2
1.0
7.354 0.000 0.000
0.000 7.354 0.000
0.000 0.000 3.861
La Cu Ni
4 2 4
Cartesian
6.021 2.344 1.930
5.010 6.021 1.930
2.344 1.333 1.930
1.333 5.010 1.930
0.000 0.000 0.000
3.677 3.677 0.000
6.471 4.560 0.000
0.883 2.794 0.000
4.560 0.883 0.000
2.794 6.471 0.000
```

(9)
Compound: SrPrTe2
Source: the Alexandria database
Functional: PBE
Structure: relaxed

Summary:
* E above lowest polymorph: 36 meV/atom
* formation energy from raw total energies: -1.5281 eV per atom
* spin magnetization: 0.000 μB per atom

```
SrPrTe2
1.0
-4.077 1.627 -1.117
1.054 -4.305 -0.934
-5.637 -4.440 14.105
Te Pr Sr
4 2 2
Cartesian
-1.331 -2.859 0.692
-5.859 -3.102 7.684
-7.329 -4.260 11.361
-2.800 -4.017 4.370
0.000 0.000 0.000
-2.819 -2.220 7.052
-4.884 -5.658 9.583
-3.776 -1.461 2.470
```

(10)
Compound: TlInHg3
Source: the Alexandria database
Functional: PBE
Structure: relaxed

Summary:
* E above lowest polymorph: 3 meV/atom
* formation energy: 0.002 eV/atom
* spin magnetization: 0.000 μB per atom

```
TlInHg3
1.0
-1.180 4.941 0.577
-0.504 -0.539 3.586
14.199 3.082 2.655
Hg Tl In
6 2 2
Cartesian
4.343 1.923 3.744
10.693 3.509 3.159
8.171 5.561 3.075
-0.685 3.642 1.387
1.821 3.975 3.659
13.199 3.842 5.431
7.473 2.597 4.380
5.041 4.887 2.438
10.606 5.875 5.368
1.908 1.609 1.451
```

(11)
Compound: ThCdPdPb
Source: the Alexandria database
Functional: PBE
Structure: relaxed

Summary:
* formation energy: -0.314 eV/atom
* spin magnetization: 0.000 μB per atom

```
ThCdPdPb
1.0
5.151 0.000 0.000
2.576 4.461 0.000
2.576 1.487 4.206
Th Cd Pd Pb
1 1 1 1
Cartesian
5.151 2.974 2.103
7.727 4.461 3.155
2.576 1.487 1.052
0.000 0.000 0.000
```

(12)
Compound: Li4ZnP2S8
Source: the Alexandria database
Functional: PBE
Structure: relaxed

Summary:
* formation energy from raw total energies: -0.7934 eV per atom
* spin magnetization: 0.000 μB per atom

```
Li4ZnP2S8
1.0
-1.244 2.902 -4.851
-5.982 1.455 -1.035
0.082 9.891 2.535
Li S P Zn
4 8 2 1
Cartesian
-1.864 3.435 -0.788
-3.499 7.210 -1.643
-6.346 7.339 -4.221
-1.252 12.721 -2.325
-2.764 3.013 -2.937
-5.780 3.687 -1.682
-1.611 5.862 -0.900
-5.178 13.132 -2.555
-3.272 9.543 -2.407
-5.063 7.152 0.255
-0.548 8.752 0.416
-4.301 6.005 -3.595
-4.511 3.965 -3.282
-0.827 6.750 0.765
-5.285 10.805 -2.557
```

(13)
Compound: Sb2PtAu
Source: the Alexandria database
Functional: PBE
Structure: relaxed

Summary:
* E above lowest polymorph: 48 meV/atom
* formation energy from raw total energies: -0.1655 eV per atom
* spin magnetization: 0.000 μB per atom

```
Sb2PtAu
1.0
-1.513 -0.040 -6.934
-5.014 -0.437 -5.005
-3.334 3.192 -5.392
Au Pt Sb
1 1 2
Cartesian
-4.874 1.342 -8.566
-7.409 2.040 -13.022
-2.297 0.632 -4.037
-0.211 0.058 -0.372
```

(14)
Compound: Tm3InAu2
Source: the Alexandria database
Functional: PBE
Structure: relaxed

Summary:
* formation energy: -0.748 eV/atom
* spin magnetization: 0.000 μB per atom

```
Tm3InAu2
1.0
-2.224 -2.108 -1.794
0.292 -2.467 2.538
-8.691 4.552 5.425
Tm Au In
3 2 1
Cartesian
-2.741 1.435 1.711
0.000 0.000 0.000
-5.951 3.117 3.714
-2.387 -1.544 1.258
-8.237 1.520 4.910
-5.312 -0.012 3.084
```

(15)
Compound: Na3Tl5Hg3
Source: the Alexandria database
Functional: PBE
Structure: relaxed

Summary:
* formation energy: -0.040 eV/atom
* spin magnetization: 0.000 μB per atom

```
Na3Tl5Hg3
1.0
3.212 0.000 0.000
0.000 9.436 -5.448
0.000 0.000 10.896
Hg Tl Na
3 5 3
Cartesian
1.606 7.871 -4.544
1.606 0.000 9.088
1.606 1.565 0.904
1.606 0.000 3.619
1.606 3.145 5.448
1.606 3.134 -1.810
1.606 6.302 3.638
1.606 6.291 0.000
0.000 0.000 6.485
0.000 5.616 -3.243
0.000 3.820 2.205
```

(16)
Compound: SiSb2Br
Source: the Alexandria database
Functional: PBE
Structure: relaxed

Summary:
* E above lowest polymorph: 33 meV/atom
* formation energy from raw total energies: 0.1304 eV per atom
* spin magnetization: 0.000 μB per atom

```
SiSb2Br
1.0
3.567 0.000 0.000
0.000 3.567 0.000
0.000 0.000 7.819
Sb Si Br
2 1 1
Cartesian
0.000 0.000 3.483
0.000 0.000 0.426
1.784 1.784 1.955
1.784 1.784 5.864
```

(17)
Compound: ErThNi4
Source: the Alexandria database
Functional: PBE
Structure: relaxed

Summary:
* E above lowest polymorph: 0 meV/atom
* formation energy: -0.419 eV/atom
* spin magnetization: 0.000 μB per atom

```
ErThNi4
1.0
3.668 -0.001 0.000
0.002 4.059 0.000
0.000 0.000 7.087
Er Th Ni
1 1 4
Cartesian
3.663 2.017 7.074
3.664 4.046 3.531
1.830 4.047 5.920
1.829 2.018 4.734
1.829 4.047 1.138
1.829 2.018 2.327
```

(18)
Compound: CeTi2Co
Source: the Alexandria database
Functional: PBE
Structure: relaxed

Summary:
* E above lowest polymorph: 137 meV/atom
* formation energy: 0.059 eV/atom
* spin magnetization: 0.000 μB per atom

```
CeTi2Co
1.0
4.498 0.000 0.000
2.249 3.896 0.000
2.249 1.299 3.675
Ce Ti Co
1 2 1
Cartesian
4.498 2.597 1.837
2.249 1.299 0.919
6.747 3.896 2.756
0.000 0.000 0.000
```

(19)
Compound: Rb2GeAuN
Source: the Alexandria database
Functional: PBE
Structure: relaxed

Summary:
* formation energy from raw total energies: 0.2728 eV per atom
* spin magnetization: 0.000 μB per atom

```
Rb2GeAuN
1.0
-6.199 -1.723 1.672
-0.404 -1.775 -3.329
2.294 -5.616 2.717
Rb Au Ge N
2 1 1 1
Cartesian
1.147 -2.808 1.358
-3.099 -0.861 0.836
-2.155 -4.557 0.530
0.000 0.000 0.000
-0.202 -0.888 -1.664
```

(20)
Compound: BaPbBr2
Source: the Alexandria database
Functional: PBE
Structure: relaxed

Summary:
* E above lowest polymorph: 1 meV/atom
* formation energy from raw total energies: -1.1458 eV per atom
* spin magnetization: 0.000 μB per atom

```
BaPbBr2
1.0
-0.691 1.853 5.252
-2.242 -2.112 4.692
5.551 -2.542 2.624
Br Pb Ba
2 1 1
Cartesian
5.356 -2.507 2.914
1.505 -1.436 5.995
0.655 -0.700 3.142
1.964 -2.101 9.426
```

(21)
Compound: La2RuRh2
Source: the Alexandria database
Functional: PBE
Structure: relaxed

Summary:
* formation energy: -0.325 eV/atom
* spin magnetization: 0.073 μB per atom

```
La2RuRh2
1.0
7.142 0.000 0.000
0.000 7.142 0.000
0.000 0.000 4.249
Rh Ru La
4 2 4
Cartesian
4.509 0.938 0.000
0.938 2.633 0.000
2.633 6.204 0.000
6.204 4.509 0.000
0.000 0.000 0.000
3.571 3.571 0.000
5.821 2.250 2.125
1.321 4.892 2.125
4.892 5.821 2.125
2.250 1.321 2.125
```

(22)
Compound: KTeBr2
Source: the Alexandria database
Functional: PBE
Structure: relaxed

Summary:
* E above lowest polymorph: 0 meV/atom
* formation energy from raw total energies: -0.7880 eV per atom
* spin magnetization: 0.000 μB per atom

```
KTeBr2
1.0
-5.291 -0.970 1.660
1.568 -3.032 3.227
1.477 2.260 6.031
K Br Te
1 2 1
Cartesian
1.660 -0.993 4.714
2.610 -0.623 7.959
-1.742 -0.443 3.735
-0.208 -0.840 8.395
```

(23)
Compound: HgSeCl2
Source: the Alexandria database
Functional: PBE
Structure: relaxed

Summary:
* E above lowest polymorph: 229 meV/atom
* formation energy from raw total energies: -0.0518 eV per atom
* spin magnetization: 0.000 μB per atom

```
HgSeCl2
1.0
-1.784 -8.055 7.093
-2.420 -9.720 4.247
0.736 -9.440 5.359
Se Cl Hg
1 2 1
Cartesian
0.000 0.000 0.000
-3.219 -25.264 15.502
-0.249 -1.950 1.197
-1.734 -13.607 8.349
```

(24)
Compound: LaCoP3
Source: the Alexandria database
Functional: PBE
Structure: relaxed

Summary:
* E above lowest polymorph: 0 meV/atom
* formation energy: -0.358 eV/atom
* spin magnetization: 0.144 μB per atom

```
LaCoP3
1.0
-4.059 1.046 -1.658
-1.905 -3.010 2.763
-0.466 3.188 3.152
P La Co
3 1 1
Cartesian
-2.029 0.523 -0.829
-0.233 1.594 1.576
-0.952 -1.505 1.381
-3.215 0.613 2.128
0.000 0.000 0.000
```

(25)
Compound: ZnNiP2
Source: the Alexandria database
Functional: PBE
Structure: relaxed

Summary:
* formation energy: 0.276 eV/atom
* spin magnetization: 0.000 μB per atom

```
ZnNiP2
1.0
-0.807 -4.364 -1.976
1.535 -0.603 -4.569
1.908 1.668 4.144
Zn P Ni
1 2 1
Cartesian
0.364 -2.483 -3.273
1.904 -0.709 -1.849
0.000 0.000 0.000
0.733 -2.589 -0.553
```

(26)
Compound: ZrBrO3
Source: the Alexandria database
Functional: PBE
Structure: relaxed

Summary:
* formation energy from raw total energies: 0.1382 eV per atom
* spin magnetization: 0.000 μB per atom

```
ZrBrO3
1.0
4.059 0.000 0.000
0.000 4.059 0.000
0.000 0.000 4.059
O Zr Br
3 1 1
Cartesian
0.000 2.029 0.000
0.000 0.000 2.029
2.029 0.000 0.000
2.029 2.029 2.029
0.000 0.000 0.000
```